[1]
Computed, not measured: crystalline TcHgAu2 at its relaxed geometry at the GGA-PBE level of DFT.

Energy (eV/atom): -3.8520
E_form (eV per atom): 0.454
Total moment (μB per formula unit): 2.56

Unit cell a=4.3423 b=4.3423 c=7.7544 alpha=90.00 beta=90.00 gamma=90.00
With the nearest neighbours (Å) after each atom.
Space group I-4m2 (No. 119)
Unique sites:
Tc  0.0000  0.0000  0.0000 x2  4 Hg 2.91, 8 Au 2.91-3.07
Hg  0.0000  0.5000  0.2500 x2  4 Tc 2.91, 8 Au 2.91-3.07
Au  0.0000  0.0000  0.5000 x2  4 Hg 2.91, 4 Au 2.91, 4 Tc 3.07
Au  0.0000  0.5000  0.7500 x2  4 Tc 2.91, 4 Au 2.91, 4 Hg 3.07

---

[2]
Computed, not measured: crystalline Tc2HgAu at its relaxed geometry at the GGA-PBE level of DFT.

Energy (eV/atom): -5.5163
E_form (eV per atom): 0.561
Total moment (μB per formula unit): 0.00

Unit cell a=9.6419 b=2.8877 c=4.8983 alpha=90.00 beta=100.20 gamma=90.00
With the nearest neighbours (Å) after each atom.
Space group C2/m (No. 12)
Unique sites:
Tc  0.2474  0.0000  0.2345 x4  6 Tc 2.72-2.97, 3 Au 2.85-2.87, 3 Hg 2.91-2.93
Hg  0.0000  0.0000  0.5000 x2  4 Au 2.84, 2 Hg 2.89, 6 Tc 2.91-2.93
Au  0.0000  0.5000  0.0000 x2  4 Hg 2.84, 6 Tc 2.85-2.87, 2 Au 2.89

---

[3]
Computed, not measured: crystalline Tc2HgAu at its relaxed geometry at the GGA-PBE level of DFT.

Energy (eV/atom): -5.6279
E_form (eV per atom): 0.450
Total moment (μB per formula unit): 0.00

Unit cell a=9.3115 b=3.0337 c=4.9868 alpha=90.00 beta=103.79 gamma=90.00
With the nearest neighbours (Å) after each atom.
Space group Cm (No. 8)
Unique sites:
Tc  0.0000  0.0000  0.0000 x2  2 Tc 2.51
Tc  0.2182  0.5000  0.1571 x2  2 Tc 2.51, 2 Au 2.78
Hg  0.4803  0.0000  0.4684 x2  3 Au 2.74-2.87, 7 Tc 2.83-3.02, 2 Hg 3.03
Au  0.2420  0.0000  0.7029 x2  3 Hg 2.74-2.87, 5 Tc 2.78-2.98, 2 Au 3.03

---

[4]
Computed, not measured: crystalline Tc2HgAu at its relaxed geometry at the GGA-PBE level of DFT.

Energy (eV/atom): -5.5589
E_form (eV per atom): 0.519
Total moment (μB per formula unit): 0.00

Unit cell a=4.0584 b=4.0584 c=8.0578 alpha=90.00 beta=90.00 gamma=90.00
With the nearest neighbours (Å) after each atom.
Space group I-4m2 (No. 119)
Unique sites:
Tc  0.0000  0.0000  0.0000 x2  4 Tc 2.86, 4 Au 2.86, 4 Hg 2.87
Tc  0.0000  0.5000  0.2500 x2  4 Hg 2.86, 4 Tc 2.86, 4 Au 2.87
Hg  0.0000  0.0000  0.5000 x2  8 Tc 2.86-2.87, 4 Au 2.86
Au  0.0000  0.5000  0.7500 x2  4 Hg 2.86, 8 Tc 2.86-2.87

---

[5]
Computed, not measured: crystalline Tc2HgAu at its relaxed geometry at the GGA-PBE level of DFT.

Energy (eV/atom): -5.8724
E_form (eV per atom): 0.205
Total moment (μB per formula unit): 0.00

Unit cell a=2.9277 b=2.9277 c=8.1481 alpha=90.00 beta=90.00 gamma=90.00
With the nearest neighbours (Å) after each atom.
Space group P4mm (No. 99)
Unique sites:
Tc  0.0000  0.0000  0.0000 x1  4 Tc 2.54
Tc  0.5000  0.5000  0.1803 x1  4 Tc 2.54
Hg  0.5000  0.5000  0.7284 x1  4 Hg 2.93, 4 Tc 3.03, 4 Au 3.13
Au  0.0000  0.0000  0.4407 x1  4 Au 2.93, 4 Tc 2.96, 4 Hg 3.13

---

[6]
Computed, not measured: crystalline TcHgAu2 at its relaxed geometry at the GGA-PBE level of DFT.

Energy (eV/atom): -3.8436
E_form (eV per atom): 0.462
Total moment (μB per formula unit): 2.51

Unit cell a=4.3460 b=4.3460 c=7.7558 alpha=90.00 beta=90.00 gamma=90.00
With the nearest neighbours (Å) after each atom.
Space group I4/mmm (No. 139)
Unique sites:
Tc  0.0000  0.0000  0.0000 x2  8 Au 2.91, 4 Hg 3.07
Hg  0.0000  0.0000  0.5000 x2  8 Au 2.91, 4 Tc 3.07
Au  0.0000  0.5000  0.2500 x4  4 Hg 2.91, 4 Tc 2.91, 4 Au 3.07

---

[7]
Computed, not measured: crystalline Tc2HgAu at its relaxed geometry at the GGA-PBE level of DFT.

Energy (eV/atom): -5.4795
E_form (eV per atom): 0.598
Total moment (μB per formula unit): 0.00

Unit cell a=2.8646 b=2.8646 c=28.3040 alpha=90.00 beta=90.00 gamma=120.00
With the nearest neighbours (Å) after each atom.
Space group R-3m (No. 166, hexagonal axes)
Unique sites:
Tc  0.0000  0.0000  0.2478 x6  3 Au 2.83, 6 Tc 2.86, 3 Hg 2.93
Hg  0.0000  0.0000  0.0000 x3  6 Hg 2.86, 6 Tc 2.93
Au  0.0000  0.0000  0.5000 x3  6 Tc 2.83, 6 Au 2.86

---

[8]
Computed, not measured: crystalline TcHgAu2 at its relaxed geometry at the GGA-PBE level of DFT.

Energy (eV/atom): -3.9432
E_form (eV per atom): 0.362
Total moment (μB per formula unit): 0.00

Unit cell a=2.9393 b=2.9393 c=28.6679 alpha=90.00 beta=90.00 gamma=120.00
With the nearest neighbours (Å) after each atom.
Space group R3m (No. 160, hexagonal axes)
Unique sites:
Tc  0.0000  0.0000  0.0000 x3  3 Au 2.78, 3 Hg 2.93, 6 Tc 2.94
Hg  0.0000  0.0000  0.2502 x3  3 Tc 2.93, 6 Hg 2.94, 3 Au 3.06
Au  0.0000  0.0000  0.4945 x3  9 Au 2.94-2.96, 3 Hg 3.06
Au  0.0000  0.0000  0.7434 x3  3 Tc 2.78, 9 Au 2.94-2.96

---

[9]
Computed, not measured: crystalline TcHgAu2 at its relaxed geometry at the GGA-PBE level of DFT.

Energy (eV/atom): -3.9435
E_form (eV per atom): 0.362
Total moment (μB per formula unit): 1.01

Unit cell a=2.8995 b=2.8995 c=8.5373 alpha=90.00 beta=90.00 gamma=90.00
With the nearest neighbours (Å) after each atom.
Space group P4mm (No. 99)
Unique sites:
Tc  0.0000  0.0000  0.0000 x1  4 Au 2.81, 4 Tc 2.90, 4 Hg 2.95
Hg  0.5000  0.5000  0.7516 x1  4 Hg 2.90, 4 Tc 2.95, 4 Au 3.09
Au  0.0000  0.0000  0.4804 x1  8 Au 2.90-2.99, 4 Hg 3.09
Au  0.5000  0.5000  0.2259 x1  4 Tc 2.81, 8 Au 2.90-2.99

---

[10]
Computed, not measured: crystalline TcHg2Au2 at its relaxed geometry at the GGA-PBE level of DFT.

Energy (eV/atom): -2.8098
E_form (eV per atom): 0.695
Total moment (μB per formula unit): 3.87

Unit cell a=3.9467 b=3.9467 c=14.0141 alpha=90.00 beta=90.00 gamma=90.00
With the nearest neighbours (Å) after each atom.
Space group I4/mmm (No. 139)
Unique sites:
Tc  0.0000  0.0000  0.0000 x2  8 Au 3.09
Hg  0.0000  0.5000  0.2500 x4  4 Hg 2.79, 4 Au 2.94
Au  0.0000  0.0000  0.4060 x4  1 Au 2.64, 4 Hg 2.94

---

[11]
Computed, not measured: crystalline TcHgAu2 at its relaxed geometry at the GGA-PBE level of DFT.

Energy (eV/atom): -3.8806
E_form (eV per atom): 0.425
Total moment (μB per formula unit): 0.41

Unit cell a=9.7117 b=2.8231 c=5.2999 alpha=90.00 beta=98.93 gamma=90.00
With the nearest neighbours (Å) after each atom.
Space group C2/m (No. 12)
Unique sites:
Tc  0.0000  0.0000  0.0000 x2  2 Tc 2.82, 6 Au 2.85-2.97, 4 Hg 3.00
Hg  0.0000  0.5000  0.5000 x2  2 Hg 2.82, 6 Au 2.92-3.03, 4 Tc 3.00
Au  0.2417  0.5000  0.2353 x4  6 Au 2.82-3.12, 3 Tc 2.85-2.97, 3 Hg 2.92-3.03

---

[12]
Computed, not measured: crystalline Tc2HgAu at its relaxed geometry at the GGA-PBE level of DFT.

Energy (eV/atom): -5.4614
E_form (eV per atom): 0.616
Total moment (μB per formula unit): 0.00

Unit cell a=3.9105 b=3.9105 c=4.3893 alpha=90.00 beta=90.00 gamma=90.00
With the nearest neighbours (Å) after each atom.
Space group P4/mmm (No. 123)
Unique sites:
Tc  0.0000  0.5000  0.0000 x2  4 Tc 2.77, 4 Hg 2.94, 4 Au 2.94
Hg  0.0000  0.0000  0.5000 x1  4 Au 2.77, 8 Tc 2.94
Au  0.5000  0.5000  0.5000 x1  4 Hg 2.77, 8 Tc 2.94